VASP calculation (GGA+U) on crystalline V2Ag6As2O13 at its relaxed geometry.

Cell: 5.5391 9.9452 13.3981 Å, 66.51 78.07 73.83°
With the nearest neighbours (Å) after each atom.
Sites, in units of the cell vectors:
O  0.6106  0.1820  0.3933  1 As 1.74
O  0.0613  0.4737  0.7310  1 V 1.71
Ag  0.7654  0.4479  0.9525  2 O 2.22-2.23
O  0.4282  0.5275  0.8199  1 V 1.69
Ag  0.2346  0.5521  0.0475  2 O 2.22-2.23
Ag  0.7816  0.7187  0.6972  5 O 2.42-2.70
Ag  0.8343  0.9479  0.4525  2 O 2.22-2.23
O  0.7340  0.9737  0.2310  1 V 1.71
O  0.3922  0.7500  0.2500  2 V 1.87
O  0.2660  0.0263  0.7690  1 V 1.71
V  0.3633  0.4152  0.7666  3 O 1.69-1.87
O  0.2386  0.2663  0.9134  1 As 1.74
O  0.9387  0.5263  0.2690  1 V 1.71
O  0.4823  0.4768  0.3887  1 As 1.73
O  0.8141  0.6820  0.8933  1 As 1.74
Ag  0.0312  0.6143  0.3881  4 O 2.30-2.56
Ag  0.0336  0.8857  0.1119  4 O 2.30-2.56
O  0.9161  0.2810  0.4890  1 As 1.73
V  0.5450  0.0848  0.7334  3 O 1.69-1.87
O  0.7614  0.7337  0.0866  1 As 1.74
Ag  0.1976  0.7813  0.8028  5 O 2.42-2.70
O  0.5177  0.5232  0.6113  1 As 1.73
O  0.2244  0.0275  0.3199  1 V 1.69
O  0.1859  0.3180  0.1067  1 As 1.74
Ag  0.8024  0.2187  0.1972  5 O 2.42-2.70
As  0.6141  0.2928  0.4653  4 O 1.73-1.74
Ag  0.2184  0.2813  0.3028  5 O 2.42-2.70
O  0.4183  0.2337  0.5866  1 As 1.74
Ag  0.1657  0.0521  0.5475  2 O 2.22-2.23
O  0.7756  0.9725  0.6801  1 V 1.69
O  0.6522  0.9768  0.8887  1 As 1.73
Ag  0.9664  0.1143  0.8881  4 O 2.30-2.56
Ag  0.9688  0.3857  0.6119  4 O 2.30-2.56
O  0.6078  0.2500  0.7500  2 V 1.87
O  0.3478  0.0232  0.1113  1 As 1.73
As  0.3723  0.2072  0.0347  4 O 1.73-1.74
O  0.3139  0.7810  0.9890  1 As 1.73
O  0.3894  0.8180  0.6067  1 As 1.74
As  0.6277  0.7928  0.9653  4 O 1.73-1.74
O  0.0839  0.7190  0.5110  1 As 1.73
O  0.6861  0.2190  0.0110  1 As 1.73
O  0.5718  0.4725  0.1801  1 V 1.69
O  0.5817  0.7663  0.4134  1 As 1.74
As  0.3859  0.7072  0.5347  4 O 1.73-1.74
V  0.4550  0.9152  0.2666  3 O 1.69-1.87
V  0.6367  0.5848  0.2334  3 O 1.69-1.87

Computed properties:
- V (Å³/atom) = 14.050
- crystal system = monoclinic
- final energy (eV/atom) = -5.5626
- symmetry = C2/c, No. 15